{
  "formula": "Cd2SnRh3",
  "functional": "GGA-PBE",
  "state": "optimized geometry",
  "lattice_angstrom": [[2.2922, -6.8763, 0.0000], [2.2922, 6.8763, 0.0000], [0.0000, 0.0000, 3.2115]],
  "species": ["Cd", "Cd", "Sn", "Rh", "Rh", "Rh"],
  "fractional_positions": [[0.1737, 0.8263, 0.0000], [0.8263, 0.1737, 0.0000], [0.5000, 0.5000, 0.0000], [0.0000, 0.0000, 0.5000], [0.3444, 0.6556, 0.5000], [0.6556, 0.3444, 0.5000]],
  "final_energy_ev_per_atom": -4.959,
  "sg": "Cmmm",
  "crystal_system": "orthorhombic",
  "dos_at_fermi_per_ev_cell": 1.5,
  "m_tot_mub_per_atom": 0.000,
  "e_form_kj_per_mol_atoms": -30
}

***

{
  "formula": "BaCrOs",
  "functional": "GGA-PBE",
  "state": "optimized geometry",
  "lattice_angstrom": [[-1.6247, 1.6247, 6.3065], [1.6247, -1.6247, 6.3065], [1.6247, 1.6247, -6.3065]],
  "species": ["Ba", "Cr", "Os"],
  "fractional_positions": [[0.0000, 0.0000, 0.0000], [0.7206, 0.7206, 0.0000], [0.2910, 0.2910, 0.0000]],
  "final_energy_ev_per_atom": -6.878,
  "sg": "I4mm",
  "crystal_system": "tetragonal",
  "dos_at_fermi_per_ev_cell": 3.1,
  "m_tot_mub_per_atom": 0.427,
  "e_form_kj_per_mol_atoms": 69
}

***

{
  "formula": "SrLa2CoAu",
  "functional": "GGA-PBE",
  "state": "optimized geometry",
  "lattice_angstrom": [[5.1764, 0.0000, 0.0000], [0.0000, 5.1764, 0.0000], [0.0000, 0.0000, 5.4236]],
  "species": ["Sr", "La", "La", "Co", "Au"],
  "fractional_positions": [[0.0000, 0.0000, 0.0000], [0.0000, 0.5000, 0.5000], [0.5000, 0.0000, 0.5000], [0.5000, 0.5000, 0.5000], [0.5000, 0.5000, 0.0000]],
  "final_energy_ev_per_atom": -4.539,
  "sg": "P4/mmm",
  "crystal_system": "tetragonal",
  "dos_at_fermi_per_ev_cell": 4.1,
  "m_tot_mub_per_atom": 0.000,
  "e_form_kj_per_mol_atoms": -15
}

***

{
  "formula": "NaLi2Ga9",
  "functional": "GGA-PBE",
  "state": "optimized geometry",
  "lattice_angstrom": [[2.7669, 1.5975, 8.8975], [-2.7669, 1.5975, 8.8975], [0.0000, -3.1949, 8.8975]],
  "species": ["Na", "Li", "Li", "Ga", "Ga", "Ga", "Ga", "Ga", "Ga", "Ga", "Ga", "Ga"],
  "fractional_positions": [[0.0000, 0.0000, 0.0000], [0.1384, 0.1384, 0.1384], [0.8616, 0.8616, 0.8616], [0.0763, 0.5939, 0.5939], [0.3371, 0.3371, 0.3371], [0.4061, 0.4061, 0.9237], [0.4061, 0.9237, 0.4061], [0.5000, 0.5000, 0.5000], [0.5939, 0.0763, 0.5939], [0.5939, 0.5939, 0.0763], [0.6629, 0.6629, 0.6629], [0.9237, 0.4061, 0.4061]],
  "final_energy_ev_per_atom": -2.798,
  "sg": "R-3m",
  "crystal_system": "trigonal",
  "dos_at_fermi_per_ev_cell": 5.1,
  "m_tot_mub_per_atom": 0.000,
  "e_form_kj_per_mol_atoms": -10
}

***

{
  "formula": "LaPmTh",
  "functional": "GGA-PBE",
  "state": "optimized geometry",
  "lattice_angstrom": [[-1.8187, 1.8187, 7.8176], [1.8187, -1.8187, 7.8176], [1.8187, 1.8187, -7.8176]],
  "species": ["La", "Pm", "Th"],
  "fractional_positions": [[0.0000, 0.0000, 0.0000], [0.6888, 0.6888, 0.0000], [0.3432, 0.3432, 0.0000]],
  "final_energy_ev_per_atom": -5.678,
  "sg": "I4mm",
  "crystal_system": "tetragonal",
  "dos_at_fermi_per_ev_cell": 4.0,
  "m_tot_mub_per_atom": 0.000,
  "e_form_kj_per_mol_atoms": 2
}

***

{
  "formula": "Tb2GaBi",
  "functional": "GGA-PBE",
  "state": "optimized geometry",
  "lattice_angstrom": [[2.2405, -11.7907, 0.0000], [2.2405, 11.7907, 0.0000], [0.0000, 0.0000, 4.2969]],
  "species": ["Tb", "Tb", "Tb", "Tb", "Ga", "Ga", "Bi", "Bi"],
  "fractional_positions": [[0.0590, 0.9410, 0.7500], [0.3264, 0.6736, 0.7500], [0.6736, 0.3264, 0.2500], [0.9410, 0.0590, 0.2500], [0.4641, 0.5359, 0.7500], [0.5359, 0.4641, 0.2500], [0.1906, 0.8094, 0.7500], [0.8094, 0.1906, 0.2500]],
  "final_energy_ev_per_atom": -4.743,
  "sg": "Cmcm",
  "crystal_system": "orthorhombic",
  "dos_at_fermi_per_ev_cell": 4.0,
  "m_tot_mub_per_atom": 0.000,
  "e_form_kj_per_mol_atoms": -68
}